A plane-wave DFT calculation with PBE-GGA was carried out for a geometry-optimized LaPr12Ho7 structure.

Structure (extended XYZ):
```
20
Lattice="8.577 4.952 2.763 -8.577 4.952 2.763 0.000 -9.904 2.763" Properties=species:S:1:pos:R:3 pbc="T T T"
La 0.000 0.000 0.000
Pr -2.636 -1.522 2.103
Pr -2.451 -4.246 4.144
Pr -4.903 0.000 4.144
Pr 2.636 -1.522 2.103
Pr 0.000 3.044 2.103
Pr 2.451 -4.246 4.144
Pr -2.451 4.246 4.144
Pr 0.000 -3.044 6.186
Pr -2.636 1.522 6.186
Pr 4.903 0.000 4.144
Pr 2.451 4.246 4.144
Pr 2.636 1.522 6.186
Ho 0.000 -3.384 1.427
Ho -2.931 1.692 1.427
Ho 2.931 1.692 1.427
Ho 0.000 0.000 4.144
Ho -2.931 -1.692 6.861
Ho 2.931 -1.692 6.861
Ho 0.000 3.384 6.861
```

SG   No. 166
Polymorph energy (0 for the lowest one)   0.0 meV per atom

A plane-wave DFT calculation with PBE-GGA was carried out for a geometry-optimized LaPr6Ho structure.

Structure (extended XYZ):
```
8
Lattice="5.224 0.000 0.000 0.000 5.224 0.000 0.000 0.000 10.467" Properties=species:S:1:pos:R:3 pbc="T T T"
La 0.000 0.000 0.000
Pr 0.000 2.612 2.660
Pr 0.000 2.612 7.807
Pr 2.612 0.000 2.660
Pr 2.612 0.000 7.807
Pr 2.612 2.612 0.000
Pr 2.612 2.612 5.234
Ho 0.000 0.000 5.234
```

SG   No. 123

A plane-wave DFT calculation with PBE-GGA was carried out for a geometry-optimized La2Pr9Ho structure.

Structure (extended XYZ):
```
12
Lattice="5.238 0.000 0.000 0.000 5.238 0.000 0.000 0.000 15.719" Properties=species:S:1:pos:R:3 pbc="T T T"
La 0.000 0.000 2.640
La 0.000 0.000 13.080
Pr 0.000 2.619 0.000
Pr 0.000 2.619 5.289
Pr 0.000 2.619 10.430
Pr 2.619 0.000 0.000
Pr 2.619 0.000 5.289
Pr 2.619 0.000 10.430
Pr 2.619 2.619 2.652
Pr 2.619 2.619 7.860
Pr 2.619 2.619 13.067
Ho 0.000 0.000 7.860
```

SG   No. 123

A plane-wave DFT calculation with PBE-GGA was carried out for a geometry-optimized LaPr7Ho3 structure.

Structure (extended XYZ):
```
11
Lattice="5.959 -5.154 0.000 5.959 5.154 0.000 -0.684 0.000 6.476" Properties=species:S:1:pos:R:3 pbc="T T T"
La 0.000 0.000 0.000
Pr -0.342 0.000 3.238
Pr 2.498 1.812 4.918
Pr 2.975 0.000 1.856
Pr 2.498 -1.812 4.918
Pr 8.737 1.812 1.558
Pr 8.259 0.000 4.620
Pr 8.737 -1.812 1.558
Ho 5.617 1.730 3.238
Ho 5.959 0.000 0.000
Ho 5.617 -1.730 3.238
```

SG   No. 12
Polymorph energy (0 for the lowest one)   23.8 meV per atom

A plane-wave DFT calculation with PBE-GGA was carried out for a geometry-optimized La4Pr3Ho2 structure.

Structure (extended XYZ):
```
9
Lattice="7.823 -2.621 0.000 7.823 2.621 0.000 -2.593 0.000 7.779" Properties=species:S:1:pos:R:3 pbc="T T T"
La 0.007 0.000 2.561
La 2.596 0.000 5.214
La 10.456 0.000 2.566
La 13.045 0.000 5.218
Pr 5.206 0.000 2.567
Pr 7.823 0.000 0.000
Pr 7.846 0.000 5.212
Ho 0.039 0.000 7.774
Ho 13.013 0.000 0.005
```

SG   No. 12
Polymorph energy (0 for the lowest one)   0.0 meV per atom

A plane-wave DFT calculation with PBE-GGA was carried out for a geometry-optimized La9PrHo2 structure.

Structure (extended XYZ):
```
12
Lattice="5.215 0.000 0.000 0.000 5.215 0.000 0.000 0.000 15.678" Properties=species:S:1:pos:R:3 pbc="T T T"
La 0.000 0.000 0.000
La 0.000 0.000 5.247
La 0.000 0.000 10.431
La 0.000 2.607 2.649
La 0.000 2.607 7.839
La 0.000 2.607 13.028
La 2.607 0.000 2.649
La 2.607 0.000 7.839
La 2.607 0.000 13.028
Pr 2.607 2.607 0.000
Ho 2.607 2.607 5.247
Ho 2.607 2.607 10.431
```

SG   No. 123

Computed M_tot, in the same sequence as the records: 0.0 0.0 0.0 0.0 0.0 0.0 Bohr magnetons per cell.
Computed E, in the same sequence as the records: -0.3301 -0.3496 -0.3509 -0.3328 -0.3513 -0.3564 Ry/atom.
Computed formation enthalpy at 0 K, in the same sequence as the records: 0.23 0.02 0.01 0.21 0.02 0.01 eV/atom.